Record 1
Entry from Alexandria: crystalline ZnTe2 at its relaxed geometry (PBE-GGA).

Cell and atoms, written as extended XYZ:
```
3
Lattice="2.0425 1.1793 5.6962 -2.0425 1.1793 5.6962 0.0000 -2.3585 5.6962" Properties=species:S:1:pos:R:3 pbc="T T T"
Zn 0.0000 0.0000 0.0000
Te 0.0000 0.0000 9.7563
Te 0.0000 0.0000 12.9634
```

Summary:
calculated density	6.47	g cm⁻³
formation energy from raw total energies	-0.0066	eV per atom


Record 2
Entry from Alexandria: crystalline LaPm3Ho7 at its relaxed geometry (PBE-GGA).

Cell and atoms, written as extended XYZ:
```
11
Lattice="6.9907 0.0000 0.0000 0.0000 5.5546 0.0000 -3.3739 0.0000 9.4198" Properties=species:S:1:pos:R:3 pbc="T T T"
La 0.0000 0.0000 0.0000
Pm 0.2915 2.7773 4.6934
Pm 3.4953 0.0000 0.0000
Pm 3.3252 2.7773 4.7264
Ho -1.6870 0.0000 4.7099
Ho -1.6525 2.7773 7.4225
Ho 1.7915 2.7773 1.3218
Ho 1.8245 0.0000 3.1144
Ho 1.7923 0.0000 6.3053
Ho 1.8252 2.7773 8.0979
Ho 5.2692 2.7773 1.9973
```

Summary:
calculated density	7.85	g cm⁻³
ΔE to the lowest computed polymorph	0	meV/atom
energy of formation	145	meV per atom


Result set for size of the total moment: 0.0; 0.0 μB per formula unit, one per record in the order listed.